VASP calculation (PBE) on an optimized crystal structure of La5C2Cl9.

Lattice parameters (Å, degrees): 8.698 8.758 12.242 84.03 85.43 61.45
Fractional coordinates of all 32 atoms:
La 0.103 0.201 0.003
La 0.131 0.765 0.269
La 0.203 0.186 0.497
La 0.230 0.423 0.742
La 0.389 0.905 0.781
La 0.611 0.095 0.219
La 0.770 0.577 0.258
La 0.797 0.814 0.503
La 0.869 0.235 0.731
La 0.897 0.799 0.997
C 0.142 0.197 0.811
C 0.169 0.189 0.690
C 0.831 0.811 0.310
C 0.858 0.803 0.189
Cl 0.000 0.000 0.500
Cl 0.076 0.844 0.774
Cl 0.158 0.372 0.262
Cl 0.177 0.549 0.506
Cl 0.214 0.829 0.034
Cl 0.216 0.460 0.975
Cl 0.401 0.907 0.277
Cl 0.456 0.831 0.555
Cl 0.491 0.482 0.231
Cl 0.500 0.000 0.000
Cl 0.509 0.518 0.769
Cl 0.544 0.169 0.445
Cl 0.599 0.093 0.723
Cl 0.784 0.540 0.025
Cl 0.786 0.171 0.966
Cl 0.823 0.451 0.494
Cl 0.842 0.628 0.738
Cl 0.924 0.156 0.226

Output
Space-group type = P-1 (2)
Uncorrected energy = -5.69 eV/atom
ρ = 4.23 g/cm³